Compound: ThSi2Au
Source: Alexandria
Functional: PBE
Structure: optimized geometry

Computed properties:
Uncorrected formation energy = -0.564 eV per atom

Lattice parameters (Å, degrees): 4.2895 10.7561 13.8873 90.00 90.00 90.00
Atoms (fractional coordinates):
Si 0.7500 0.5369 0.1323
Si 0.7500 0.7330 0.2055
Si 0.7500 0.7670 0.7055
Si 0.2500 0.4599 0.5239
Si 0.2500 0.4631 0.8677
Si 0.7500 0.7769 0.8829
Si 0.2500 0.2231 0.1171
Si 0.2500 0.0401 0.0239
Si 0.7500 0.9631 0.6323
Si 0.7500 0.5401 0.4761
Si 0.7500 0.9599 0.9761
Si 0.7500 0.7231 0.3829
Si 0.2500 0.0369 0.3677
Si 0.2500 0.2670 0.7945
Si 0.2500 0.2330 0.2945
Si 0.2500 0.2769 0.6171
Th 0.7500 0.2437 0.9553
Th 0.7500 0.2563 0.4553
Th 0.2500 0.5347 0.3077
Th 0.2500 0.7437 0.5447
Th 0.2500 0.9653 0.8077
Th 0.7500 0.0347 0.1923
Th 0.7500 0.4653 0.6923
Th 0.2500 0.7563 0.0447
Au 0.2500 0.0533 0.5602
Au 0.7500 0.3339 0.2301
Au 0.7500 0.1661 0.7301
Au 0.7500 0.9467 0.4398
Au 0.2500 0.4467 0.0602
Au 0.2500 0.6661 0.7699
Au 0.2500 0.8339 0.2699
Au 0.7500 0.5533 0.9398

---

Compound: NdSiSb
Source: Alexandria
Functional: PBE
Structure: optimized geometry

Computed properties:
Uncorrected formation energy = -0.076 eV per atom

Lattice parameters (Å, degrees): 5.8100 5.8100 6.5526 116.32 116.32 90.00
Atoms (fractional coordinates):
Sb 0.7337 0.2337 0.4674
Sb 0.4837 0.4837 0.9674
Nd 0.2731 0.7731 0.5462
Nd 0.0231 0.0231 0.0462
Si 0.7432 0.7432 0.4863
Si 0.9932 0.4932 0.9863

---

Compound: CuNiRh2
Source: Alexandria
Functional: PBE
Structure: optimized geometry

Computed properties:
ΔH_f (0 K) = 2.28 kcal/mol of atoms

Lattice parameters (Å, degrees): 4.5260 4.5260 2.6690 90.00 90.00 108.17
Last column: magnetic moment on the atom in μB.
Atoms (fractional coordinates):
Rh 0.0000 0.0000 0.0000  0.40
Rh 0.5000 0.5000 0.0000  0.40
Ni 0.0000 0.5000 0.5000  0.34
Cu 0.5000 0.0000 0.5000  0.14

---

Compound: TcRu2Pt
Source: Alexandria
Functional: PBE
Structure: optimized geometry

Computed properties:
ΔH_f (0 K) = 0.30 kcal/mol of atoms
Energy above the lowest structure with this stoichiometry = 0.0884 eV per atom

Lattice parameters (Å, degrees): 9.1410 9.1410 9.1410 17.19 17.19 17.19
Atoms (fractional coordinates):
Ru 0.9964 0.9964 0.9964
Ru 0.5036 0.5036 0.5036
Tc 0.2500 0.2500 0.2500
Pt 0.7500 0.7500 0.7500

---

Number 1: V 20.0 Å³ per atom. Number 2: V 28.7 Å³ per atom. Number 3: V 13.0 Å³ per atom. Number 4: V 14.5 Å³ per atom.